DFT (PBE-GGA) results for a geometry-optimized ScAgOs2 structure.

Cell: 5.462 5.462 5.462 Å, 147.76 130.62 60.21°
Positions (direct):
Ag  0.750  0.250  0.500
Os  0.011  0.011  0.000
Os  0.489  0.489  0.000
Sc  0.250  0.750  0.500

Results
DFT total energy: -30.5 eV/f.u.
Energy relative to the lowest polymorph listed for this composition: 21.5 kJ per mole of atoms
Energy of formation from the pure elements: 114 kJ/mol of formula units
Space-group type: No. 71
Total magnetization: 0.0 μB/f.u.
Crystal system: orthorhombic



DFT (PBE-GGA) results for a geometry-optimized SmTh4Pd4 structure.

Cell: 6.007 9.049 9.049 Å, 90.00 90.00 90.00°
Positions (direct):
Sm  0.000  0.000  0.000
Sm  0.500  0.500  0.500
Th  0.405  0.302  0.914
Th  0.905  0.586  0.802
Th  0.405  0.698  0.086
Th  0.095  0.198  0.586
Th  0.595  0.914  0.698
Th  0.095  0.802  0.414
Th  0.905  0.414  0.198
Th  0.595  0.086  0.302
Pd  0.606  0.786  0.385
Pd  0.606  0.214  0.615
Pd  0.106  0.885  0.714
Pd  0.894  0.286  0.885
Pd  0.894  0.714  0.115
Pd  0.394  0.385  0.214
Pd  0.394  0.615  0.786
Pd  0.106  0.115  0.286

Results
DFT total energy: -59.8 eV/f.u.
Energy of formation from the pure elements: -450 kJ/mol of formula units
Space-group type: No. 86
Total magnetization: 0.0 μB/f.u.
Crystal system: tetragonal



DFT (PBE-GGA) results for a geometry-optimized Gd2PuTl structure.

Cell: 3.682 3.682 8.738 Å, 90.00 90.00 90.00°
Last column: magnetic moment on the atom in μB.
Positions (direct):
Tl  0.500  0.500  0.000  -0.02
Gd  0.000  0.000  0.767  7.25
Gd  0.000  0.000  0.233  7.25
Pu  0.500  0.500  0.500  5.62

Results
DFT total energy: -45.2 eV/f.u.
Energy relative to the lowest polymorph listed for this composition: 0.0 kJ per mole of atoms
Energy of formation from the pure elements: -35 kJ/mol of formula units
Space-group type: No. 123
Total magnetization: 21.3 μB/f.u.
Crystal system: tetragonal



DFT (PBE-GGA) results for a geometry-optimized ScRhPb2 structure.

Cell: 6.258 6.258 6.258 Å, 148.28 133.77 57.16°
Positions (direct):
Pb  0.003  0.003  0.000
Pb  0.717  0.217  0.500
Rh  0.480  0.480  0.000
Sc  0.300  0.800  0.500

Results
DFT total energy: -22.0 eV/f.u.
Energy of formation from the pure elements: -87 kJ/mol of formula units
Space-group type: No. 44
Total magnetization: 0.0 μB/f.u.
Crystal system: orthorhombic



DFT (PBE-GGA) results for a geometry-optimized SbPdRh structure.

Cell: 3.227 4.329 4.329 Å, 120.00 90.00 90.00°
Positions (direct):
Sb  0.703  0.333  0.667
Rh  0.915  0.000  0.000
Pd  0.382  0.667  0.333

Results
Energy relative to the elements, uncorrected: -0.290 eV/atom
DFT total energy: -17.5 eV/f.u.
Space-group type: No. 156
Total magnetization: 0.0 μB/f.u.
Crystal system: trigonal



DFT (PBE-GGA) results for a geometry-optimized ReAsIr2 structure.

Cell: 3.953 2.859 5.478 Å, 74.92 90.00 90.00°
Positions (direct):
Re  0.000  0.694  0.486
As  0.500  0.544  0.788
Ir  0.000  0.955  0.966
Ir  0.500  0.307  0.261

Results
DFT total energy: -34.4 eV/f.u.
Energy of formation from the pure elements: 37 kJ/mol of formula units
Space-group type: No. 38
Total magnetization: 0.0 μB/f.u.
Crystal system: orthorhombic



DFT (PBE-GGA) results for a geometry-optimized VCoI2N structure.

Cell: 5.525 5.525 3.650 Å, 90.00 90.00 90.00°
Last column: magnetic moment on the atom in μB.
Positions (direct):
I  0.000  0.500  0.000  0.02
I  0.500  0.000  0.000  0.02
N  0.000  0.000  0.500  -0.20
Co  0.500  0.500  0.500  2.06
V  0.000  0.000  0.000  1.15

Results
Energy relative to the elements, uncorrected: 0.540 eV/atom
DFT total energy: -25.0 eV/f.u.
Energy relative to the lowest polymorph listed for this composition: 0.0 kJ per mole of atoms
Space-group type: No. 123
Total magnetization: 3.2 μB/f.u.
Crystal system: tetragonal



DFT (PBE-GGA) results for a geometry-optimized CaNd3O6 structure.

Cell: 6.995 6.995 6.995 Å, 91.65 91.65 91.65°
Last column: magnetic moment on the atom in μB.
Positions (direct):
Ca  0.000  0.000  0.000  0.00
Ca  0.500  0.500  0.500  0.00
Nd  0.443  0.936  0.749  -0.01
Nd  0.936  0.749  0.443  -0.01
Nd  0.251  0.557  0.064  -0.01
Nd  0.749  0.443  0.936  -0.01
Nd  0.064  0.251  0.557  -0.01
Nd  0.557  0.064  0.251  -0.01
O  0.318  0.899  0.067  0.13
O  0.101  0.933  0.682  0.13
O  0.604  0.817  0.475  0.18
O  0.933  0.682  0.101  0.13
O  0.475  0.604  0.817  0.18
O  0.183  0.525  0.396  0.18
O  0.817  0.475  0.604  0.18
O  0.525  0.396  0.183  0.18
O  0.067  0.318  0.899  0.13
O  0.396  0.183  0.525  0.18
O  0.899  0.067  0.318  0.13
O  0.682  0.101  0.933  0.13

Results
Energy relative to the elements, uncorrected: -3.036 eV/atom
DFT total energy: -76.4 eV/f.u.
Space-group type: No. 148
Total magnetization: 1.1 μB/f.u.
Crystal system: trigonal